Below is a geometry-optimized Ac4VZn3O12 structure, with properties calculated at the PBE with a Hubbard U level.

Properties
* final energy: -6.79 eV/atom
* space group: Im-3m
* DOS(E_F): 3.20 states/eV/f.u.

a b c (Å): 6.9468 6.9468 6.9468
angles (deg): 109.47 109.47 109.47
Closest atoms and distances in Å follow each position.
Positions (direct):
Ac1 0.0000 0.0000 0.5000  12 O 2.84
Ac2 0.0000 0.5000 0.0000  12 O 2.84
Ac3 0.5000 0.0000 0.0000  12 O 2.84
Ac4 0.5000 0.5000 0.5000  12 O 2.84
V1 0.0000 0.0000 0.0000  6 O 1.88
Zn1 0.0000 0.5000 0.5000  6 O 2.01-2.13
Zn2 0.5000 0.0000 0.5000  6 O 2.01-2.13
Zn3 0.5000 0.5000 0.0000  6 O 2.01-2.13
O1 0.0000 0.2347 0.2347  1 V 1.88
O2 0.0000 0.7653 0.7653  1 V 1.88
O3 0.2347 0.0000 0.2347  1 V 1.88
O4 0.2347 0.2347 0.0000  1 V 1.88
O5 0.2500 0.5000 0.7500  2 Zn 2.01
O6 0.2500 0.7500 0.5000  2 Zn 2.01
O7 0.5000 0.2500 0.7500  2 Zn 2.01
O8 0.5000 0.7500 0.2500  2 Zn 2.01
O9 0.7500 0.2500 0.5000  2 Zn 2.01
O10 0.7500 0.5000 0.2500  2 Zn 2.01
O11 0.7653 0.0000 0.7653  1 V 1.88
O12 0.7653 0.7653 0.0000  1 V 1.88